1.
Computed, not measured: a relaxed structure of Mg2ScAu at the PBE level of DFT.

Its total energy is -3.603 eV per atom.

The structure belongs to space group F-43m (No. 216); the cell edges are 6.748, 6.748 and 6.748 Å and the angles 90.00°, 90.00° and 90.00°. The distinct sites, in fractional coordinates, are Mg at (0.000, 0.000, 0.000), Mg at (0.250, 0.250, 0.250), Sc at (0.250, 0.250, 0.750) and Au at (0.000, 0.000, 0.500).

=====

2.
Computed, not measured: a relaxed structure of MgScAu2 at the PBE level of DFT.

Its total energy is -4.241 eV per atom.

The structure belongs to space group P6_3/mmc (No. 194); the cell edges are 4.6739, 4.6739 and 8.3048 Å and the angles 90.00°, 90.00° and 120.00°. The distinct sites, in fractional coordinates, are Mg at (0.3333, 0.6667, 0.2500), Sc at (0.0000, 0.0000, 0.0000) and Au at (0.3333, 0.6667, 0.5851).

=====

3.
Computed, not measured: a relaxed structure of MgScAuSe3 at the PBE level of DFT.

Its total energy is -4.538 eV per atom.

The structure belongs to space group Cmcm (No. 63); the cell edges are 3.733, 12.911 and 10.501 Å and the angles 90.00°, 90.00° and 90.00°. The distinct sites, in fractional coordinates, are Mg at (0.000, 0.219, 0.250), Sc at (0.000, 0.000, 0.000), Au at (0.000, 0.470, 0.750), Se at (0.000, 0.120, 0.750) and Se at (0.000, 0.354, 0.553).

=====

4.
Computed, not measured: a relaxed structure of MgScTe2AuSe at the PBE level of DFT.

Its total energy is -4.193 eV per atom.

The structure belongs to space group Cmcm (No. 63); the cell edges are 3.922, 14.136 and 10.344 Å and the angles 90.00°, 90.00° and 90.00°. The distinct sites, in fractional coordinates, are Mg at (0.000, 0.248, 0.250), Sc at (0.000, 0.500, 0.000), Te at (0.000, 0.152, 0.557), Au at (0.000, 0.023, 0.750) and Se at (0.000, 0.395, 0.750).

=====

5.
Computed, not measured: a relaxed structure of MgScTeAuSe2 at the PBE level of DFT.

Its total energy is -4.413 eV per atom.

The structure belongs to space group Cmcm (No. 63); the cell edges are 3.770, 13.574 and 10.595 Å and the angles 90.00°, 90.00° and 90.00°. The distinct sites, in fractional coordinates, are Mg at (0.000, 0.194, 0.250), Sc at (0.000, 0.000, 0.000), Te at (0.000, 0.126, 0.750), Au at (0.000, 0.473, 0.750) and Se at (0.000, 0.359, 0.554).

=====

6.
Computed, not measured: a relaxed structure of Mg2Sc2TlAu3 at the PBE level of DFT.

Its total energy is -4.095 eV per atom.

The structure belongs to space group P-4m2 (No. 115); the cell edges are 4.788, 4.788 and 6.834 Å and the angles 90.00°, 90.00° and 90.00°. The distinct sites, in fractional coordinates, are Mg at (0.000, 0.500, 0.238), Sc at (0.000, 0.500, 0.764), Tl at (0.000, 0.000, 0.500), Au at (0.000, 0.000, 0.000), Au at (0.500, 0.500, 0.000) and Au at (0.500, 0.500, 0.500).

=====

7.
Computed, not measured: a relaxed structure of Mg3AuSe at the PBE level of DFT.

Its total energy is -2.345 eV per atom.

The structure belongs to space group Pm-3m (No. 221); the cell edges are 4.917, 4.917 and 4.917 Å and the angles 90.00°, 90.00° and 90.00°. The distinct sites, in fractional coordinates, are Mg at (0.000, 0.000, 0.500), Au at (0.500, 0.500, 0.500) and Se at (0.000, 0.000, 0.000).

=====

8.
Computed, not measured: a relaxed structure of SmMgAuSe3 at the PBE level of DFT.

Its total energy is -4.382 eV per atom.

The structure belongs to space group Cmcm (No. 63); the cell edges are 3.894, 13.357 and 10.760 Å and the angles 90.00°, 90.00° and 90.00°. The distinct sites, in fractional coordinates, are Sm at (0.000, 0.000, 0.000), Mg at (0.000, 0.224, 0.250), Au at (0.000, 0.476, 0.750), Se at (0.000, 0.116, 0.750) and Se at (0.000, 0.345, 0.571).

=====

9.
Computed, not measured: a relaxed structure of SmMgTe2AuSe at the PBE level of DFT.

Its total energy is -4.059 eV per atom.

The structure belongs to space group Cmcm (No. 63); the cell edges are 4.114, 14.183 and 10.875 Å and the angles 90.00°, 90.00° and 90.00°. The distinct sites, in fractional coordinates, are Sm at (0.000, 0.000, 0.000), Mg at (0.000, 0.254, 0.250), Te at (0.000, 0.342, 0.572), Au at (0.000, 0.479, 0.750) and Se at (0.000, 0.106, 0.750).

=====

10.
Computed, not measured: a relaxed structure of TbMgAuSe3 at the PBE level of DFT.

Its total energy is -4.365 eV per atom.

The structure belongs to space group Cmcm (No. 63); the cell edges are 3.866, 13.279 and 10.683 Å and the angles 90.00°, 90.00° and 90.00°. The distinct sites, in fractional coordinates, are Tb at (0.000, 0.000, 0.000), Mg at (0.000, 0.222, 0.250), Au at (0.000, 0.477, 0.750), Se at (0.000, 0.117, 0.750) and Se at (0.000, 0.347, 0.568).

=====

11.
Computed, not measured: a relaxed structure of TbMgTeAuSe2 at the PBE level of DFT.

Its total energy is -4.241 eV per atom.

The structure belongs to space group Cmcm (No. 63); the cell edges are 3.902, 13.868 and 10.880 Å and the angles 90.00°, 90.00° and 90.00°. The distinct sites, in fractional coordinates, are Tb at (0.000, 0.000, 0.000), Mg at (0.000, 0.194, 0.250), Te at (0.000, 0.124, 0.750), Au at (0.000, 0.479, 0.750) and Se at (0.000, 0.354, 0.568).

=====

12.
Computed, not measured: a relaxed structure of TmMgTeAuSe2 at the PBE level of DFT.

Its total energy is -4.191 eV per atom.

The structure belongs to space group Cmcm (No. 63); the cell edges are 3.870, 13.774 and 10.822 Å and the angles 90.00°, 90.00° and 90.00°. The distinct sites, in fractional coordinates, are Tm at (0.000, 0.000, 0.000), Mg at (0.000, 0.195, 0.250), Te at (0.000, 0.125, 0.750), Au at (0.000, 0.477, 0.750) and Se at (0.000, 0.356, 0.563).

=====

13.
Computed, not measured: a relaxed structure of YMgTe2AuSe at the PBE level of DFT.

Its total energy is -4.339 eV per atom.

The structure belongs to space group Cmcm (No. 63); the cell edges are 4.081, 14.149 and 10.736 Å and the angles 90.00°, 90.00° and 90.00°. The distinct sites, in fractional coordinates, are Y at (0.000, 0.000, 0.000), Mg at (0.000, 0.254, 0.250), Te at (0.000, 0.344, 0.568), Au at (0.000, 0.479, 0.750) and Se at (0.000, 0.106, 0.750).

=====

14.
Computed, not measured: a relaxed structure of YMgAuSe3 at the PBE level of DFT.

Its total energy is -4.670 eV per atom.

The structure belongs to space group Cmcm (No. 63); the cell edges are 3.860, 13.238 and 10.699 Å and the angles 90.00°, 90.00° and 90.00°. The distinct sites, in fractional coordinates, are Y at (0.000, 0.000, 0.000), Mg at (0.000, 0.222, 0.250), Au at (0.000, 0.476, 0.750), Se at (0.000, 0.117, 0.750) and Se at (0.000, 0.348, 0.567).

=====

15.
Computed, not measured: a relaxed structure of MgSi2Au2 at the PBE level of DFT.

Its total energy is -3.856 eV per atom.

The structure belongs to space group I4/mmm (No. 139); the cell edges are 4.313, 4.313 and 9.895 Å and the angles 90.00°, 90.00° and 90.00°. The distinct sites, in fractional coordinates, are Mg at (0.000, 0.000, 0.000), Si at (0.000, 0.000, 0.386) and Au at (0.000, 0.500, 0.250).

=====

16.
Computed, not measured: a relaxed structure of SrMgSiAu2 at the PBE level of DFT.

Its total energy is -3.585 eV per atom.

The structure belongs to space group I-4m2 (No. 119); the cell edges are 4.398, 4.398 and 11.473 Å and the angles 90.00°, 90.00° and 90.00°. The distinct sites, in fractional coordinates, are Sr at (0.000, 0.000, 0.000), Mg at (0.000, 0.500, 0.750), Si at (0.000, 0.500, 0.250) and Au at (0.000, 0.000, 0.376).

=====

17.
Computed, not measured: a relaxed structure of SrMg2SiAu at the PBE level of DFT.

Its total energy is -3.208 eV per atom.

The structure belongs to space group I4mm (No. 107); the cell edges are 4.453, 4.453 and 11.738 Å and the angles 90.00°, 90.00° and 90.00°. The distinct sites, in fractional coordinates, are Sr at (0.000, 0.000, 0.000), Mg at (0.000, 0.500, 0.239), Si at (0.000, 0.000, 0.601) and Au at (0.000, 0.000, 0.385).

=====

18.
Computed, not measured: a relaxed structure of SrMgSi2Au at the PBE level of DFT.

Its total energy is -3.951 eV per atom.

The structure belongs to space group I-4m2 (No. 119); the cell edges are 4.361, 4.361 and 10.926 Å and the angles 90.00°, 90.00° and 90.00°. The distinct sites, in fractional coordinates, are Sr at (0.000, 0.000, 0.000), Mg at (0.000, 0.500, 0.250), Si at (0.000, 0.000, 0.391) and Au at (0.000, 0.500, 0.750).

=====

19.
Computed, not measured: a relaxed structure of SmMgAu at the PBE level of DFT.

Its total energy is -3.847 eV per atom.

The structure belongs to space group P-62m (No. 189); the cell edges are 7.7142, 7.7142 and 4.1308 Å and the angles 90.00°, 90.00° and 120.00°. The distinct sites, in fractional coordinates, are Sm at (0.0000, 0.4127, 0.0000), Mg at (0.0000, 0.7556, 0.5000), Au at (0.0000, 0.0000, 0.0000) and Au at (0.3333, 0.6667, 0.5000).

=====

20.
Computed, not measured: a relaxed structure of SmMgAu at the PBE level of DFT.

Its total energy is -3.847 eV per atom.

The structure belongs to space group P-62m (No. 189); the cell edges are 7.7466, 7.7466 and 4.1019 Å and the angles 90.00°, 90.00° and 120.00°. The distinct sites, in fractional coordinates, are Sm at (0.0000, 0.4113, 0.0000), Mg at (0.0000, 0.7547, 0.5000), Au at (0.0000, 0.0000, 0.0000) and Au at (0.3333, 0.6667, 0.5000).